1.
Entry from Alexandria: crystalline Tb2PaNi at its relaxed geometry (PBE-GGA).

The structure in CIF format:
```
data_Tb2PaNi
_cell_length_a 3.372
_cell_length_b 3.372
_cell_length_c 8.295
_cell_angle_alpha 90.00
_cell_angle_beta 90.00
_cell_angle_gamma 90.00
_symmetry_space_group_name_H-M 'P 4/m m m'
_symmetry_Int_Tables_number 123
_symmetry_space_group_name_Hall '-P 4 2'
loop_
_atom_site_label
_atom_site_fract_x
_atom_site_fract_y
_atom_site_fract_z
Tb1 0.000 0.000 0.202
Pa1 0.500 0.500 0.500
Ni1 0.500 0.500 0.000
```

Output
**Energy relative to the elements**: -0.0450 eV/atom
**Fermi-level density of states**: 1.29 states/eV/atom
**Excess energy over the best structure of this formula in the dataset**: 0.0 meV/atom

2.
Entry from Alexandria: crystalline Tb2Pa2Ni15 at its relaxed geometry (PBE-GGA).

The structure in CIF format:
```
data_Tb2Pa2Ni15
_cell_length_a 8.4708
_cell_length_b 8.4708
_cell_length_c 12.8285
_cell_angle_alpha 90.00
_cell_angle_beta 90.00
_cell_angle_gamma 120.00
_symmetry_space_group_name_H-M 'R -3 m'
_symmetry_Int_Tables_number 166
_symmetry_space_group_name_Hall '-R 3 2"'
loop_
_atom_site_label
_atom_site_fract_x
_atom_site_fract_y
_atom_site_fract_z
Tb1 0.0000 0.0000 0.1374
Pa1 0.0000 0.0000 0.3912
Ni1 0.0000 0.3106 0.5000
Ni2 0.0000 0.5000 0.0000
Ni3 0.0046 0.5023 0.6576
```

Output
**Energy relative to the elements**: -0.2951 eV/atom
**Fermi-level density of states**: 1.20 states/eV/atom

3.
Entry from Alexandria: crystalline TbPa2Ni6 at its relaxed geometry (PBE-GGA).

The structure in CIF format:
```
data_TbPa2Ni6
_cell_length_a 3.423
_cell_length_b 6.893
_cell_length_c 12.955
_cell_angle_alpha 90.00
_cell_angle_beta 90.00
_cell_angle_gamma 90.00
_symmetry_space_group_name_H-M 'I m m m'
_symmetry_Int_Tables_number 71
_symmetry_space_group_name_Hall '-I 2 2'
loop_
_atom_site_label
_atom_site_fract_x
_atom_site_fract_y
_atom_site_fract_z
Tb1 0.000 0.000 0.000
Pa1 0.000 0.500 0.144
Ni1 0.000 0.176 0.500
Ni2 0.000 0.306 0.322
```

Output
**Energy relative to the elements**: -0.2860 eV/atom
**Fermi-level density of states**: 0.93 states/eV/atom
**Excess energy over the best structure of this formula in the dataset**: 51.5 meV/atom

4.
Entry from Alexandria: crystalline TbPa2Ni6 at its relaxed geometry (PBE-GGA).

The structure in CIF format:
```
data_TbPa2Ni6
_cell_length_a 7.1703
_cell_length_b 7.1703
_cell_length_c 3.3827
_cell_angle_alpha 90.00
_cell_angle_beta 90.00
_cell_angle_gamma 120.00
_symmetry_space_group_name_H-M 'P 6/m m m'
_symmetry_Int_Tables_number 191
_symmetry_space_group_name_Hall '-P 6 2'
loop_
_atom_site_label
_atom_site_fract_x
_atom_site_fract_y
_atom_site_fract_z
Tb1 0.0000 0.0000 0.0000
Pa1 0.3333 0.6667 0.0000
Ni1 0.0000 0.3372 0.5000
```

Output
**Energy relative to the elements**: -0.3375 eV/atom
**Fermi-level density of states**: 1.20 states/eV/atom
**Excess energy over the best structure of this formula in the dataset**: 0.0 meV/atom

5.
Entry from Alexandria: crystalline TbPaNi at its relaxed geometry (PBE-GGA).

The structure in CIF format:
```
data_TbPaNi
_cell_length_a 3.485
_cell_length_b 3.485
_cell_length_c 11.231
_cell_angle_alpha 90.00
_cell_angle_beta 90.00
_cell_angle_gamma 90.00
_symmetry_space_group_name_H-M 'I 4 m m'
_symmetry_Int_Tables_number 107
_symmetry_space_group_name_Hall 'I 4 -2'
loop_
_atom_site_label
_atom_site_fract_x
_atom_site_fract_y
_atom_site_fract_z
Tb1 0.000 0.000 0.000
Pa1 0.000 0.000 0.289
Ni1 0.000 0.000 0.690
```

Output
**Energy relative to the elements**: -0.1224 eV/atom
**Fermi-level density of states**: 1.08 states/eV/atom
**Excess energy over the best structure of this formula in the dataset**: 0.0 meV/atom

6.
Entry from Alexandria: crystalline TbPaNi at its relaxed geometry (PBE-GGA).

The structure in CIF format:
```
data_TbPaNi
_cell_length_a 4.3560
_cell_length_b 4.3560
_cell_length_c 4.4236
_cell_angle_alpha 90.00
_cell_angle_beta 90.00
_cell_angle_gamma 120.00
_symmetry_space_group_name_H-M 'P -6 m 2'
_symmetry_Int_Tables_number 187
_symmetry_space_group_name_Hall 'P -6 2'
loop_
_atom_site_label
_atom_site_fract_x
_atom_site_fract_y
_atom_site_fract_z
Tb1 0.0000 0.0000 0.0000
Pa1 0.6667 0.3333 0.5000
Ni1 0.3333 0.6667 0.5000
```

Output
**Energy relative to the elements**: 0.1703 eV/atom
**Fermi-level density of states**: 1.55 states/eV/atom
**Excess energy over the best structure of this formula in the dataset**: 292.8 meV/atom

Going through the records in order, we get final energy values of -6.179; -6.346; -6.765; -6.816; -6.758; -6.465 eV/atom.
Going through the records in order, we get V values of 23.59; 13.99; 16.98; 16.73; 22.73; 24.23 Å³ per atom.